This record from Alexandria via LeMat-Bulk describes a relaxed InTcRu2 crystal. The functional is GGA-PBE.

Space group   No. 160
Spin magnetization   0.0 μB per formula unit
Energy of formation   0.283 eV/atom

abc: 9.138 9.138 9.138
angles: 17.86 17.86 17.86
Sites, in units of the cell vectors:
In1 0.000 0.000 0.000
Tc1 0.757 0.757 0.757
Ru1 0.246 0.246 0.246
Ru2 0.500 0.500 0.500

=====

This record from Alexandria via LeMat-Bulk describes a relaxed InTcRu2 crystal. The functional is GGA-PBE.

Space group   No. 71
Spin magnetization   0.0 μB per formula unit
Energy of formation   0.339 eV/atom

abc: 5.211 5.211 5.211
angles: 145.54 128.00 63.89
Sites, in units of the cell vectors:
In1 0.000 0.000 0.000
Tc1 0.500 0.500 0.000
Ru1 0.253 0.753 0.500
Ru2 0.747 0.247 0.500

=====

This record from Alexandria via LeMat-Bulk describes a relaxed In2TcRu crystal. The functional is GGA-PBE.

Space group   No. 160
Spin magnetization   0.0 μB per formula unit
Energy of formation   0.256 eV/atom
E above lowest polymorph   207.2 meV per atom

abc: 9.494 9.494 9.494
angles: 18.18 18.18 18.18
Sites, in units of the cell vectors:
In1 0.000 0.000 0.000
In2 0.235 0.235 0.235
Tc1 0.485 0.485 0.485
Ru1 0.749 0.749 0.749